1.
# BaAg2PdSe3S

A relaxed structure of BaAg2PdSe3S (GGA-PBE, OQMD).

a = 6.0760 Å, b = 6.3454 Å, c = 6.6280 Å
α = 100.53°, β = 106.87°, γ = 118.11°
Last column: nearest neighbours and their distance in Å.
Sites, in units of the cell vectors:
Ag (0.4754, 0.7877, 0.2956)  3 Se 2.62-2.83, 1 S 2.69
Ag (0.4753, 0.1460, 0.6793)  1 S 2.53, 3 Se 2.65-2.82
Ba (0.0043, 0.0038, 0.0026)  2 S 3.15-3.17, 6 Se 3.28-3.51
Pd (0.0924, 0.5841, 0.5126)  1 S 2.34, 3 Se 2.45-2.52
S (0.3927, 0.8491, 0.8960)  1 Pd 2.34, 1 Ag 2.53
Se (0.9341, 0.4887, 0.1022)  1 Pd 2.45, 1 Ag 2.62
Se (0.6256, 0.4803, 0.4794)  1 Pd 2.52, 1 Ag 2.65
Se (0.0001, 0.1603, 0.5323)  1 Pd 2.51, 1 Ag 2.62

Computed properties:
Mass density, g/cm3: 6.1
Space group: P1
Raw total energy, eV/atom: -3.9449
V, Å³/atom: 24.955
Crystal system: triclinic

---

2.
# BaAg2PdSeS3

A relaxed structure of BaAg2PdSeS3 (GGA-PBE, OQMD).

a = 6.0997 Å, b = 6.1440 Å, c = 6.5575 Å
α = 109.49°, β = 99.11°, γ = 118.17°
Last column: nearest neighbours and their distance in Å.
Sites, in units of the cell vectors:
Ag (0.8256, 0.5044, 0.3058)  3 S 2.50-2.64, 1 Se 2.79
Ag (0.2250, 0.5323, 0.6975)  3 S 2.49-2.70, 1 Se 2.62
Ba (0.0075, 0.0017, 0.0002)  6 S 3.13-3.43, 2 Se 3.42
Pd (0.4103, 0.9308, 0.5000)  3 S 2.33-2.39, 1 Se 2.52
S (0.1503, 0.6133, 0.1051)  1 Pd 2.33, 1 Ag 2.50
S (0.5234, 0.3697, 0.5210)  1 Pd 2.39, 1 Ag 2.50
S (0.5142, 0.0517, 0.8958)  1 Pd 2.33, 1 Ag 2.49
Se (0.8437, 0.9962, 0.4745)  1 Pd 2.52, 2 Ag 2.62-2.79

Computed properties:
Mass density, g/cm3: 5.6
Space group: P1
Raw total energy, eV/atom: -4.0863
V, Å³/atom: 23.614
Crystal system: triclinic

---

3.
# BaAgSb2Pd

A relaxed structure of BaAgSb2Pd (GGA-PBE, OQMD).

a = 4.8255 Å, b = 4.8255 Å, c = 11.1788 Å
α = 90.00°, β = 90.00°, γ = 90.00°
Last column: nearest neighbours and their distance in Å.
Sites, in units of the cell vectors:
Ag (0.0000, 0.0000, 0.0000)  4 Sb 2.89
Ag (0.5000, 0.5000, 0.0000)  4 Sb 2.89
Ba (0.0000, 0.5000, 0.2513)  8 Sb 3.63-3.68, 4 Ag 3.70, 4 Pd 3.72
Ba (0.5000, 0.0000, 0.7487)  8 Sb 3.63-3.68, 4 Ag 3.70, 4 Pd 3.72
Pd (0.5000, 0.0000, 0.3840)  5 Sb 2.71-2.74
Pd (0.0000, 0.5000, 0.6160)  5 Sb 2.71-2.74
Sb (0.5000, 0.0000, 0.1418)  1 Pd 2.71, 4 Ag 2.89
Sb (0.0000, 0.0000, 0.5000)  4 Pd 2.74
Sb (0.5000, 0.5000, 0.5000)  4 Pd 2.74
Sb (0.0000, 0.5000, 0.8582)  1 Pd 2.71, 4 Ag 2.89

Computed properties:
Mass density, g/cm3: 7.6
Space group: P4/nmm
Raw total energy, eV/atom: -4.3238
V, Å³/atom: 26.031
Crystal system: tetragonal

---

4.
# BaAgSb2Pd

A relaxed structure of BaAgSb2Pd (GGA-PBE, OQMD).

a = 4.8510 Å, b = 4.8510 Å, c = 11.2507 Å
α = 90.00°, β = 90.00°, γ = 90.00°
Last column: nearest neighbours and their distance in Å.
Sites, in units of the cell vectors:
Ag (0.0000, 0.5000, 0.3595)  5 Sb 2.79-2.90
Ag (0.5000, 0.0000, 0.6405)  5 Sb 2.79-2.90
Ba (0.5000, 0.0000, 0.2379)  4 Pd 3.61, 4 Ag 3.69, 9 Sb 3.71-3.93
Ba (0.0000, 0.5000, 0.7621)  4 Pd 3.61, 4 Ag 3.69, 9 Sb 3.71-3.93
Pd (0.0000, 0.0000, 0.0000)  4 Sb 2.73
Pd (0.5000, 0.5000, 0.0000)  4 Sb 2.73
Sb (0.0000, 0.5000, 0.1118)  4 Pd 2.73, 1 Ag 2.79
Sb (0.0000, 0.0000, 0.5000)  4 Ag 2.90
Sb (0.5000, 0.5000, 0.5000)  4 Ag 2.90
Sb (0.5000, 0.0000, 0.8882)  4 Pd 2.73, 1 Ag 2.79

Computed properties:
Mass density, g/cm3: 7.5
Space group: P4/nmm
Raw total energy, eV/atom: -4.2543
V, Å³/atom: 26.476
Crystal system: tetragonal

---

5.
# BaPmAg

A relaxed structure of BaPmAg (GGA-PBE, OQMD).

a = 5.4346 Å, b = 5.4346 Å, c = 5.4346 Å
α = 60.00°, β = 60.00°, γ = 60.00°
Last column: nearest neighbours and their distance in Å.
Sites, in units of the cell vectors:
Ag (0.0000, 0.0000, 0.0000)  4 Pm 3.33, 4 Ba 3.33
Ba (0.2500, 0.2500, 0.2500)  4 Ag 3.33
Pm (0.7500, 0.7500, 0.7500)  4 Ag 3.33

Computed properties:
Mass density, g/cm3: 5.7
Space group: F-43m
Raw total energy, eV/atom: -3.0048
M_tot, μB/f.u.: 0.54
V, Å³/atom: 37.832
Crystal system: cubic

---

6.
# BaPrAg2

A relaxed structure of BaPrAg2 (GGA-PBE, OQMD).

a = 5.0136 Å, b = 8.0056 Å, c = 6.1553 Å
α = 90.00°, β = 90.00°, γ = 90.00°
Last column: nearest neighbours and their distance in Å.
Sites, in units of the cell vectors:
Ag (0.0000, 0.8202, 0.1360)  2 Ag 3.08, 4 Pr 3.18-3.24
Ag (0.0000, 0.2526, 0.3608)  3 Pr 3.08-3.22, 2 Ag 3.08, 2 Ba 3.38-3.40
Ag (0.5000, 0.1798, 0.6360)  2 Ag 3.08, 4 Pr 3.18-3.24
Ag (0.5000, 0.7474, 0.8608)  3 Pr 3.08-3.22, 2 Ag 3.08, 2 Ba 3.38-3.40
Ba (0.5000, 0.5696, 0.3624)  7 Ag 3.38-3.57
Ba (0.0000, 0.4304, 0.8624)  7 Ag 3.38-3.57
Pr (0.5000, 0.0657, 0.1408)  7 Ag 3.08-3.24
Pr (0.0000, 0.9343, 0.6408)  7 Ag 3.08-3.24

Computed properties:
Mass density, g/cm3: 6.6
Space group: Pmn2_1
Raw total energy, eV/atom: -3.3187
M_tot, μB/f.u.: 0.01
V, Å³/atom: 30.882
Crystal system: orthorhombic

---

7.
# BaPrAg2

A relaxed structure of BaPrAg2 (GGA-PBE, OQMD).

a = 5.0501 Å, b = 6.2143 Å, c = 7.8314 Å
α = 90.00°, β = 90.00°, γ = 90.00°
Last column: nearest neighbours and their distance in Å.
Sites, in units of the cell vectors:
Ag (0.0000, 0.6322, 0.0355)  2 Ag 3.08, 2 Pr 3.17-3.20, 4 Ba 3.37-3.39
Ag (0.5000, 0.0988, 0.4612)  2 Ag 3.08, 3 Ba 3.24-3.35, 4 Pr 3.32-3.33
Ag (0.0000, 0.3678, 0.5355)  2 Ag 3.08, 2 Pr 3.17-3.20, 4 Ba 3.37-3.39
Ag (0.5000, 0.9012, 0.9612)  2 Ag 3.08, 3 Ba 3.24-3.35, 4 Pr 3.32-3.33
Ba (0.5000, 0.6083, 0.3199)  7 Ag 3.24-3.39
Ba (0.5000, 0.3917, 0.8199)  7 Ag 3.24-3.39
Pr (0.0000, 0.1073, 0.1835)  7 Ag 3.17-3.46
Pr (0.0000, 0.8927, 0.6835)  7 Ag 3.17-3.46

Computed properties:
Mass density, g/cm3: 6.7
Space group: Pmc2_1
Raw total energy, eV/atom: -3.2782
M_tot, μB/f.u.: 0.01
V, Å³/atom: 30.722
Crystal system: orthorhombic

---

8.
# BaPrAg2

A relaxed structure of BaPrAg2 (GGA-PBE, OQMD).

a = 6.2341 Å, b = 5.0127 Å, c = 7.8651 Å
α = 90.00°, β = 94.42°, γ = 90.00°
Last column: nearest neighbours and their distance in Å.
Sites, in units of the cell vectors:
Ag (0.1132, 0.2500, 0.0498)  2 Ag 2.95, 1 Ba 3.23, 1 Pr 3.24
Ag (0.6477, 0.7500, 0.4762)  2 Ag 3.15, 4 Pr 3.20-3.35, 3 Ba 3.31-3.40
Ag (0.3523, 0.2500, 0.5238)  2 Ag 3.15, 4 Pr 3.20-3.35, 3 Ba 3.31-3.40
Ag (0.8868, 0.7500, 0.9502)  2 Ag 2.95, 1 Ba 3.23, 1 Pr 3.24
Ba (0.6357, 0.2500, 0.1843)  7 Ag 3.23-3.54
Ba (0.3643, 0.7500, 0.8157)  7 Ag 3.23-3.54
Pr (0.1296, 0.7500, 0.3295)  7 Ag 3.20-3.35
Pr (0.8704, 0.2500, 0.6705)  7 Ag 3.20-3.35

Computed properties:
Mass density, g/cm3: 6.7
Space group: P2_1/m
Raw total energy, eV/atom: -3.2940
M_tot, μB/f.u.: 0.01
V, Å³/atom: 30.631
Crystal system: monoclinic

---

9.
# BaPr3Ag4

A relaxed structure of BaPr3Ag4 (GGA-PBE, OQMD).

a = 6.0560 Å, b = 4.9553 Å, c = 7.6721 Å
α = 90.00°, β = 91.58°, γ = 90.00°
Last column: nearest neighbours and their distance in Å.
Sites, in units of the cell vectors:
Ag (0.8609, 0.5000, 0.0169)  2 Ag 3.07, 5 Pr 3.09-3.27, 2 Ba 3.40
Ag (0.3662, 0.0000, 0.4703)  2 Ag 2.99, 3 Pr 3.12-3.30, 2 Ba 3.23-3.26
Ag (0.6228, 0.5000, 0.5559)  2 Ag 2.99, 5 Pr 3.11-3.29
Ag (0.1454, 0.0000, 0.9527)  2 Ag 3.07, 6 Pr 3.14-3.26, 1 Ba 3.33
Ba (0.8636, 0.0000, 0.3195)  7 Ag 3.23-3.42
Pr (0.3645, 0.5000, 0.1728)  7 Ag 3.25-3.37
Pr (0.1426, 0.5000, 0.6880)  7 Ag 3.09-3.30
Pr (0.6339, 0.0000, 0.8239)  7 Ag 3.12-3.23

Computed properties:
Mass density, g/cm3: 7.2
Space group: Pm
Raw total energy, eV/atom: -3.6600
M_tot, μB/f.u.: 0.02
V, Å³/atom: 28.768
Crystal system: monoclinic

---

10.
# BaPrAgS3

A relaxed structure of BaPrAgS3 (GGA-PBE, OQMD).

a = 8.0317 Å, b = 4.2184 Å, c = 9.9051 Å
α = 90.00°, β = 105.81°, γ = 90.00°
Last column: nearest neighbours and their distance in Å.
Sites, in units of the cell vectors:
Ag (0.9104, 0.7500, 0.4063)  4 S 2.55-2.81
Ag (0.0896, 0.2500, 0.5937)  4 S 2.55-2.81
Ba (0.2574, 0.2500, 0.2924)  6 S 3.19-3.28
Ba (0.7426, 0.7500, 0.7076)  6 S 3.19-3.28
Pr (0.7015, 0.2500, 0.1501)  6 S 2.85-2.93
Pr (0.2985, 0.7500, 0.8499)  6 S 2.85-2.93
S (0.4496, 0.7500, 0.1453)  3 Pr 2.85-2.91
S (0.9452, 0.7500, 0.1581)  1 Ag 2.55
S (0.7353, 0.2500, 0.4521)  3 Ag 2.64-2.81, 1 Pr 2.93
S (0.2647, 0.7500, 0.5479)  3 Ag 2.64-2.81, 1 Pr 2.93
S (0.0548, 0.2500, 0.8419)  1 Ag 2.55
S (0.5504, 0.2500, 0.8547)  3 Pr 2.85-2.91

Computed properties:
Mass density, g/cm3: 5.0
Space group: P2_1/m
Raw total energy, eV/atom: -5.2388
M_tot, μB/f.u.: 0.00
V, Å³/atom: 26.908
Crystal system: monoclinic

---

11.
# BaPrAgTeS2

A relaxed structure of BaPrAgTeS2 (GGA-PBE, OQMD).

a = 7.8326 Å, b = 7.8326 Å, c = 11.4019 Å
α = 90.00°, β = 90.00°, γ = 148.44°
Last column: nearest neighbours and their distance in Å.
Sites, in units of the cell vectors:
Ag (0.4849, 0.5151, 0.2500)  2 S 2.55, 2 Te 2.79
Ag (0.5151, 0.4849, 0.7500)  2 S 2.55, 2 Te 2.79
Ba (0.7858, 0.2142, 0.2500)  4 S 3.26, 2 Te 3.47
Ba (0.2142, 0.7858, 0.7500)  4 S 3.26, 2 Te 3.47
Pr (0.0000, 0.0000, 0.0000)  4 S 2.91, 2 Te 3.26
Pr (0.0000, 0.0000, 0.5000)  4 S 2.91, 2 Te 3.26
S (0.3807, 0.6193, 0.0733)  1 Ag 2.55
S (0.3807, 0.6193, 0.4267)  1 Ag 2.55
S (0.6193, 0.3807, 0.5733)  1 Ag 2.55
S (0.6193, 0.3807, 0.9267)  1 Ag 2.55
Te (0.1043, 0.8957, 0.2500)  2 Ag 2.79
Te (0.8957, 0.1043, 0.7500)  2 Ag 2.79

Computed properties:
Mass density, g/cm3: 5.2
Space group: Cmcm
Raw total energy, eV/atom: -4.9519
M_tot, μB/f.u.: 0.00
V, Å³/atom: 30.511
Crystal system: orthorhombic

---

12.
# BaPrAgTe2S

A relaxed structure of BaPrAgTe2S (GGA-PBE, OQMD).

a = 7.8704 Å, b = 7.8704 Å, c = 11.0125 Å
α = 90.00°, β = 90.00°, γ = 146.96°
Last column: nearest neighbours and their distance in Å.
Sites, in units of the cell vectors:
Ag (0.0232, 0.9768, 0.2500)  2 S 2.64, 2 Te 2.81
Ag (0.9768, 0.0232, 0.7500)  2 S 2.64, 2 Te 2.81
Ba (0.7737, 0.2263, 0.2500)  2 S 3.25, 6 Te 3.60-3.63
Ba (0.2263, 0.7737, 0.7500)  2 S 3.25, 6 Te 3.60-3.63
Pr (0.5000, 0.5000, 0.0000)  2 S 2.95, 4 Te 3.21
Pr (0.5000, 0.5000, 0.5000)  2 S 2.95, 4 Te 3.21
S (0.4300, 0.5700, 0.2500)  2 Ag 2.64, 2 Pr 2.95
S (0.5700, 0.4300, 0.7500)  2 Ag 2.64, 2 Pr 2.95
Te (0.1463, 0.8537, 0.0583)  1 Ag 2.81
Te (0.1463, 0.8537, 0.4417)  1 Ag 2.81
Te (0.8537, 0.1463, 0.5583)  1 Ag 2.81
Te (0.8537, 0.1463, 0.9417)  1 Ag 2.81

Computed properties:
Mass density, g/cm3: 6.0
Space group: Cmcm
Raw total energy, eV/atom: -4.7162
M_tot, μB/f.u.: 0.00
V, Å³/atom: 30.994
Crystal system: orthorhombic